Entry 1:
Pr3InTe6 after structural relaxation. Source: Alexandria, functional PBE.

a = 9.933 Å, b = 9.933 Å, c = 7.561 Å
α = 90.00°, β = 90.00°, γ = 102.11°
Fractional coordinates of all 20 atoms:
Pr1 0.094 0.906 0.500
Pr2 0.222 0.414 0.612
Pr3 0.414 0.222 0.112
Pr4 0.586 0.778 0.612
Pr5 0.778 0.586 0.112
Pr6 0.906 0.094 0.000
In1 0.295 0.705 0.140
In2 0.705 0.295 0.640
Te1 0.056 0.595 0.339
Te2 0.125 0.201 0.304
Te3 0.201 0.125 0.804
Te4 0.276 0.724 0.769
Te5 0.405 0.944 0.339
Te6 0.465 0.535 0.300
Te7 0.535 0.465 0.800
Te8 0.595 0.056 0.839
Te9 0.724 0.276 0.269
Te10 0.799 0.875 0.304
Te11 0.875 0.799 0.804
Te12 0.944 0.405 0.839

Calculated values
Calculated total energy   -47.5 eV/f.u.
Space group   Cmc2_1 (36)
E_form (uncorrected)   -1160 meV/atom
Total magnetic moment   0.00 μB per formula unit

=====

Entry 2:
Nd2TeI after structural relaxation. Source: Alexandria, functional PBE.

a = 4.130 Å, b = 4.130 Å, c = 10.457 Å
α = 90.00°, β = 90.00°, γ = 120.00°
Fractional coordinates of all 4 atoms:
Nd1 0.000 0.000 0.000
Nd2 0.333 0.667 0.520
Te1 0.000 0.000 0.708
I1 0.333 0.667 0.214

Calculated values
Calculated total energy   -17.4 eV/f.u.
Space group   P3m1 (156)
E_form (uncorrected)   -796 meV/atom
Energy above the most stable polymorph in this dataset   127 kJ/mol of formula units
Total magnetic moment   0.81 μB per formula unit

=====

Entry 3:
CuP2Ru after structural relaxation. Source: Alexandria, functional PBE.

a = 7.154 Å, b = 7.154 Å, c = 7.154 Å
α = 24.44°, β = 24.44°, γ = 24.44°
Fractional coordinates of all 4 atoms:
Cu1 0.000 0.000 0.000
P1 0.492 0.492 0.492
P2 0.740 0.740 0.740
Ru1 0.232 0.232 0.232

Calculated values
Calculated total energy   -23.8 eV/f.u.
Space group   R3m (160)
ΔE_f   0.40 eV/f.u.
Energy above the most stable polymorph in this dataset   97 kJ/mol of formula units
Total magnetic moment   0.00 μB per formula unit

=====

What did the second record say?
Nd2TeI after structural relaxation. Source: Alexandria, functional PBE.

a = 4.130 Å, b = 4.130 Å, c = 10.457 Å
α = 90.00°, β = 90.00°, γ = 120.00°
Fractional coordinates of all 4 atoms:
Nd1 0.000 0.000 0.000
Nd2 0.333 0.667 0.520
Te1 0.000 0.000 0.708
I1 0.333 0.667 0.214

Calculated values
Calculated total energy   -17.4 eV/f.u.
Space group   P3m1 (156)
E_form (uncorrected)   -796 meV/atom
Energy above the most stable polymorph in this dataset   127 kJ/mol of formula units
Total magnetic moment   0.81 μB per formula unit

=====

- What is the total magnetic moment in the third record?
  0.00 μB per formula unit

=====

- Which value of total magnetic moment does entry 3 give?
  0.00 μB per formula unit

=====

Copy entry 1 word for word.
Pr3InTe6 after structural relaxation. Source: Alexandria, functional PBE.

a = 9.933 Å, b = 9.933 Å, c = 7.561 Å
α = 90.00°, β = 90.00°, γ = 102.11°
Fractional coordinates of all 20 atoms:
Pr1 0.094 0.906 0.500
Pr2 0.222 0.414 0.612
Pr3 0.414 0.222 0.112
Pr4 0.586 0.778 0.612
Pr5 0.778 0.586 0.112
Pr6 0.906 0.094 0.000
In1 0.295 0.705 0.140
In2 0.705 0.295 0.640
Te1 0.056 0.595 0.339
Te2 0.125 0.201 0.304
Te3 0.201 0.125 0.804
Te4 0.276 0.724 0.769
Te5 0.405 0.944 0.339
Te6 0.465 0.535 0.300
Te7 0.535 0.465 0.800
Te8 0.595 0.056 0.839
Te9 0.724 0.276 0.269
Te10 0.799 0.875 0.304
Te11 0.875 0.799 0.804
Te12 0.944 0.405 0.839

Calculated values
Calculated total energy   -47.5 eV/f.u.
Space group   Cmc2_1 (36)
E_form (uncorrected)   -1160 meV/atom
Total magnetic moment   0.00 μB per formula unit